1.
Compound: Ca2Tb2In3
Source: Alexandria
Functional: GGA-PBE
Structure: optimized geometry

Unit cell a=3.706 b=3.611 c=15.776 alpha=90.00 beta=83.26 gamma=90.00
Positions (direct):
In (0.130, 0.000, 0.740)
In (0.870, 0.000, 0.260)
Tb (0.435, 0.500, 0.130)
In (0.000, 0.000, 0.000)
Tb (0.565, 0.500, 0.870)
Ca (0.695, 0.500, 0.611)
Ca (0.305, 0.500, 0.389)

Calculated values
- E_form (eV/atom) = -0.371
- size of the total moment (μB per atom) = 0.0000
- DFT total energy (eV/atom) = -3.4391
- theoretical density (Mg/m³) = 5.9
- density of states at the Fermi level (states/eV per atom) = 0.844

=====

2.
Compound: Ca4TbIn5
Source: Alexandria
Functional: GGA-PBE
Structure: optimized geometry

Unit cell a=3.854 b=3.854 c=19.010 alpha=90.00 beta=90.00 gamma=90.00
Positions (direct):
In (0.500, 0.500, 0.299)
Tb (0.000, 0.000, 0.000)
Ca (0.000, 0.000, 0.399)
Ca (0.000, 0.000, 0.199)
In (0.500, 0.500, 0.500)
In (0.500, 0.500, 0.097)
In (0.500, 0.500, 0.701)
In (0.500, 0.500, 0.903)
Ca (0.000, 0.000, 0.601)
Ca (0.000, 0.000, 0.801)

Calculated values
- E_form (eV/atom) = -0.468
- size of the total moment (μB per atom) = 0.0000
- DFT total energy (eV/atom) = -3.1013
- theoretical density (Mg/m³) = 5.3
- density of states at the Fermi level (states/eV per atom) = 0.592